[1]
# CrSnH2N, relaxed, DFT PBE-GGA
data_CrSnH2N
_symmetry_space_group_name_H-M 'P 4/m m m'
_symmetry_Int_Tables_number 123
_symmetry_space_group_name_Hall '-P 4 2'
_cell_length_a 3.637
_cell_length_b 3.637
_cell_length_c 4.557
_cell_angle_alpha 90.00
_cell_angle_beta 90.00
_cell_angle_gamma 90.00
loop_
_atom_site_label
_atom_site_type_symbol
_atom_site_fract_x
_atom_site_fract_y
_atom_site_fract_z
Cr1 Cr 0.000 0.000 0.000
Sn1 Sn 0.500 0.500 0.500
H1 H 0.000 0.500 0.500
N1 N 0.500 0.500 0.000
# - total DFT energy (no corrections) (eV/f.u.) = -24.71

[2]
# CrTeHN2, relaxed, DFT PBE-GGA
data_CrTeHN2
_symmetry_space_group_name_H-M 'P 4/m m m'
_symmetry_Int_Tables_number 123
_symmetry_space_group_name_Hall '-P 4 2'
_cell_length_a 3.578
_cell_length_b 3.578
_cell_length_c 5.433
_cell_angle_alpha 90.00
_cell_angle_beta 90.00
_cell_angle_gamma 90.00
loop_
_atom_site_label
_atom_site_type_symbol
_atom_site_fract_x
_atom_site_fract_y
_atom_site_fract_z
Cr1 Cr 0.000 0.000 0.000
Te1 Te 0.000 0.000 0.500
H1 H 0.500 0.500 0.500
N1 N 0.000 0.500 0.000
# - energy above the lowest structure with this stoichiometry (meV per atom) = 0

[3]
# CrTeHN2, relaxed, DFT PBE-GGA
data_CrTeHN2
_symmetry_space_group_name_H-M 'P 4/m m m'
_symmetry_Int_Tables_number 123
_symmetry_space_group_name_Hall '-P 4 2'
_cell_length_a 4.035
_cell_length_b 4.035
_cell_length_c 3.472
_cell_angle_alpha 90.00
_cell_angle_beta 90.00
_cell_angle_gamma 90.00
loop_
_atom_site_label
_atom_site_type_symbol
_atom_site_fract_x
_atom_site_fract_y
_atom_site_fract_z
Cr1 Cr 0.000 0.000 0.000
Te1 Te 0.500 0.500 0.000
H1 H 0.500 0.500 0.500
N1 N 0.000 0.500 0.500
# - energy above the lowest structure with this stoichiometry (meV per atom) = 1039

[4]
# CrHWN2, relaxed, DFT PBE-GGA
data_CrHWN2
_symmetry_space_group_name_H-M 'P 4/m m m'
_symmetry_Int_Tables_number 123
_symmetry_space_group_name_Hall '-P 4 2'
_cell_length_a 3.860
_cell_length_b 3.860
_cell_length_c 5.119
_cell_angle_alpha 90.00
_cell_angle_beta 90.00
_cell_angle_gamma 90.00
loop_
_atom_site_label
_atom_site_type_symbol
_atom_site_fract_x
_atom_site_fract_y
_atom_site_fract_z
Cr1 Cr 0.000 0.000 0.000
H1 H 0.500 0.500 0.000
W1 W 0.000 0.000 0.500
N1 N 0.000 0.500 0.500
# - total DFT energy (no corrections) (eV/f.u.) = -35.23

In μB/cell, the magnetic moment values for the records above are, in order, 4.40; 0.26; 3.08; 0.51.